[1]
This record from Alexandria describes an optimized crystal structure of MnVFe2Pt. The functional is GGA-PBE.

a b c (Å): 4.2136 4.2136 4.1387
angles (deg): 90.00 90.00 90.00
Last column: nearest neighbours and their distance in Å.
Fractional coordinates of all 5 atoms:
Mn (0.0000, 0.0000, 0.0000)  2 V 2.07, 4 Fe 2.11
V (0.0000, 0.0000, 0.5000)  2 Mn 2.07
Fe (0.0000, 0.5000, 0.0000)  2 Mn 2.11
Fe (0.5000, 0.0000, 0.0000)  2 Mn 2.11
Pt (0.5000, 0.5000, 0.5000)  8 Fe 2.95, 4 V 2.98

## Properties
**ΔE_f**: 0.8452 eV per atom
**Size of the total moment**: 3.466 Bohr magnetons per cell
**D(E_F)**: 1.13 states/eV per atom
**Final energy**: -37.028 eV for the cell shown

[2]
This record from Alexandria describes an optimized crystal structure of Sc2BeC. The functional is GGA-PBE.

a b c (Å): 8.3810 8.3810 8.3810
angles (deg): 22.44 22.44 22.44
Last column: nearest neighbours and their distance in Å.
Fractional coordinates of all 4 atoms:
Sc (0.0876, 0.0876, 0.0876)  1 C 2.15
Sc (0.9124, 0.9124, 0.9124)  1 C 2.15
Be (0.5000, 0.5000, 0.5000)  6 Sc 2.70
C (0.0000, 0.0000, 0.0000)  2 Sc 2.15

## Properties
**ΔE_f**: 1.0934 eV per atom
**Size of the total moment**: 0.000 Bohr magnetons per cell
**D(E_F)**: 1.01 states/eV per atom
**Final energy**: -21.239 eV for the cell shown

> Look up the final energy of the second one.

-21.239 eV for the cell shown

> What is the formula in the first record?

MnVFe2Pt

> Which value of final energy does entry 2 give?

-21.239 eV for the cell shown

Repeat the first record exactly.
This record from Alexandria describes an optimized crystal structure of MnVFe2Pt. The functional is GGA-PBE.

a b c (Å): 4.2136 4.2136 4.1387
angles (deg): 90.00 90.00 90.00
Last column: nearest neighbours and their distance in Å.
Fractional coordinates of all 5 atoms:
Mn (0.0000, 0.0000, 0.0000)  2 V 2.07, 4 Fe 2.11
V (0.0000, 0.0000, 0.5000)  2 Mn 2.07
Fe (0.0000, 0.5000, 0.0000)  2 Mn 2.11
Fe (0.5000, 0.0000, 0.0000)  2 Mn 2.11
Pt (0.5000, 0.5000, 0.5000)  8 Fe 2.95, 4 V 2.98

## Properties
**ΔE_f**: 0.8452 eV per atom
**Size of the total moment**: 3.466 Bohr magnetons per cell
**D(E_F)**: 1.13 states/eV per atom
**Final energy**: -37.028 eV for the cell shown